Compound: VRe2O6
Source: Alexandria
Functional: GGA+U
Structure: relaxed

Structure (POSCAR):
```
VRe2O6
1.0
4.633 0.000 0.000
0.000 7.409 -4.277
0.000 0.000 8.555
Re O V
6 18 3
direct
0.000 0.000 0.334 Re
0.000 0.666 0.666 Re
0.500 0.000 0.668 Re
0.000 0.334 0.000 Re
0.500 0.332 0.332 Re
0.500 0.668 0.000 Re
0.756 0.885 0.764 O
0.745 0.211 0.432 O
0.255 0.432 0.211 O
0.249 0.449 0.902 O
0.255 0.780 0.568 O
0.244 0.764 0.885 O
0.745 0.568 0.780 O
0.745 0.220 0.789 O
0.751 0.902 0.449 O
0.756 0.236 0.121 O
0.244 0.121 0.236 O
0.756 0.879 0.115 O
0.255 0.789 0.220 O
0.249 0.452 0.551 O
0.751 0.551 0.452 O
0.244 0.115 0.879 O
0.249 0.098 0.548 O
0.751 0.548 0.098 O
0.000 0.000 0.000 V
0.495 0.333 0.667 V
0.505 0.667 0.333 V
```

Properties
Magnetization in μB per cell: 4.1
Raw total energy in eV for the cell shown: -228.20